The following is a DFT calculation (GGA-PBE) of Sc2TaAg after structural relaxation.

Cell and atoms, written as POSCAR:
```
Sc2TaAg
1.0
-8.560 -5.073 1.044
-7.161 -5.953 3.657
-8.745 -3.299 3.569
Ag Sc Ta
1 2 1
Cartesian
-18.350 -10.745 6.203
-24.445 -14.314 8.263
-12.254 -7.175 4.142
-6.117 -3.582 2.068
```

Summary:
Its symmetry is R-3m (166). The calculation puts the total energy at -27.07 eV for the cell shown.


The following is a DFT calculation (GGA-PBE) of LiCdAg3 after structural relaxation.

Cell and atoms, written as POSCAR:
```
LiCdAg3
1.0
-1.166 -2.389 -4.498
4.816 0.984 -1.771
1.657 -4.541 1.982
Li Ag Cd
1 3 1
Cartesian
2.653 -2.973 -2.143
2.408 0.492 -0.886
0.829 -2.271 0.991
-0.583 -1.194 -2.249
0.000 0.000 0.000
```

Summary:
Its symmetry is Pm-3m (221). The calculation puts the total energy at -9.16 eV for the cell shown.